No. 1
Density functional theory data (meta-GGA SCAN) for MgZn2SiB at its PBEsol-relaxed geometry.

Cell and atoms, written as POSCAR:
```
MgZn2SiB
1.0
4.485 0.000 0.000
0.000 4.485 0.000
0.000 0.000 5.065
Mg Zn B Si
1 2 1 1
Cartesian
0.000 0.000 2.533
0.000 2.242 0.000
2.242 0.000 0.000
2.242 2.242 2.533
0.000 0.000 0.000
```

Properties
SG: P4/mmm (123)

=====

No. 2
Density functional theory data (meta-GGA SCAN) for Mg2SnB at its PBEsol-relaxed geometry.

Cell and atoms, written as POSCAR:
```
Mg2SnB
1.0
-1.134 4.152 0.108
-3.813 -1.085 1.678
5.735 -0.847 6.964
Mg B Sn
4 2 2
Cartesian
-2.385 0.602 3.255
-0.932 2.808 2.459
3.493 -0.306 5.530
1.399 1.335 6.256
1.064 2.419 3.983
-2.474 1.533 0.893
-0.276 -0.199 4.767
0.000 0.000 0.000
```

Properties
SG: I-42d (122)
Energy above the most stable polymorph in this dataset (meV per atom): 123
DFT formation energy (eV/atom): 0.69

=====

Number 1: raw total energy -8.661 eV per atom. Number 2: raw total energy -12.631 eV per atom.